(1)
Ca11Sb10: optimized geometry, PBE-GGA.

The final energy is -332.675 eV per cell. The value obtained for the density of states at the Fermi level is 0.303 states/eV/atom. The uncorrected formation energy is -0.9489 eV per atom. For the size of the total moment, the calculation gives 0.0 μB/f.u.

The space group is I4/mmm (No. 139) and the conventional cell measures 12.0622, 12.0622 and 17.3459 Å, with angles of 90.00, 90.00 and 90.00 degrees. Symmetry generates all atoms from Ca at (0.0000, 0.0000, 0.1651), Ca at (0.0000, 0.2515, 0.3110), Ca at (0.0000, 0.3394, 0.1032), Ca at (0.1645, 0.1645, 0.5000), Sb at (0.0000, 0.0000, 0.3718), Sb at (0.0000, 0.3482, 0.5000), Sb at (0.0000, 0.5000, 0.2500), Sb at (0.1270, 0.1270, 0.0000) and Sb at (0.2061, 0.2061, 0.1751).

=====

(2)
CaSb3: optimized geometry, PBE-GGA.

The final energy is -15.744 eV per cell. The value obtained for the density of states at the Fermi level is 0.383 states/eV/atom. The uncorrected formation energy is -0.3438 eV per atom. For the size of the total moment, the calculation gives 0.0 μB/f.u.

The space group is P2/m (No. 10) and the conventional cell measures 4.7578, 4.3064 and 6.4083 Å, with angles of 90.00, 111.05 and 90.00 degrees. Symmetry generates all atoms from Ca at (0.0000, 0.0000, 0.0000), Sb at (0.0000, 0.0000, 0.5000) and Sb at (0.4530, 0.5000, 0.7642).

=====

(3)
CaSb3: optimized geometry, PBE-GGA.

The final energy is -31.687 eV per cell. The value obtained for the density of states at the Fermi level is 0.567 states/eV/atom. The uncorrected formation energy is -0.3686 eV per atom. For the size of the total moment, the calculation gives 0.0 μB/f.u.

The space group is Immm (No. 71) and the conventional cell measures 4.0985, 5.1061 and 10.7792 Å, with angles of 90.00, 90.00 and 90.00 degrees. Symmetry generates all atoms from Ca at (0.0000, 0.0000, 0.0000), Sb at (0.0000, 0.0000, 0.5000) and Sb at (0.0000, 0.5000, 0.2256).

=====

(4)
Ca2Sb: optimized geometry, PBE-GGA.

The final energy is -40.999 eV per cell. The value obtained for the density of states at the Fermi level is 0.464 states/eV/atom. The uncorrected formation energy is -0.7081 eV per atom. For the size of the total moment, the calculation gives 0.0 μB/f.u.

The space group is C2/m (No. 12) and the conventional cell measures 12.6522, 4.5241 and 8.1984 Å, with angles of 90.00, 118.01 and 90.00 degrees. Symmetry generates all atoms from Ca at (0.0735, 0.0000, 0.3626), Ca at (0.1666, 0.5000, 0.0732) and Sb at (0.1639, 0.5000, 0.6813).

=====

(5)
CaSb8: optimized geometry, PBE-GGA.

The final energy is -70.128 eV per cell. The value obtained for the density of states at the Fermi level is 0.488 states/eV/atom. The uncorrected formation energy is -0.0092 eV per atom. For the size of the total moment, the calculation gives 0.0 μB/f.u.

The space group is I4/mmm (No. 139) and the conventional cell measures 11.3345, 11.3345 and 3.9209 Å, with angles of 90.00, 90.00 and 90.00 degrees. Symmetry generates all atoms from Ca at (0.0000, 0.0000, 0.0000), Sb at (0.0000, 0.3093, 0.0000) and Sb at (0.1664, 0.1664, 0.5000).

=====

(6)
Ca2Sb: optimized geometry, PBE-GGA.

The final energy is -40.228 eV per cell. The value obtained for the density of states at the Fermi level is 0.429 states/eV/atom. The uncorrected formation energy is -0.6438 eV per atom. For the size of the total moment, the calculation gives 0.0 μB/f.u.

The space group is C2/m (No. 12) and the conventional cell measures 12.8351, 3.8330 and 8.4519 Å, with angles of 90.00, 111.37 and 90.00 degrees. Symmetry generates all atoms from Ca at (0.1289, 0.0000, 0.0225), Ca at (0.1491, 0.0000, 0.6049) and Sb at (0.0533, 0.5000, 0.2809).

=====

(7)
Ca4Sb5: optimized geometry, PBE-GGA.

The final energy is -67.958 eV per cell. The value obtained for the density of states at the Fermi level is 0.546 states/eV/atom. The uncorrected formation energy is -0.5956 eV per atom. For the size of the total moment, the calculation gives 0.0 μB/f.u.

The space group is I4/mmm (No. 139) and the conventional cell measures 11.1576, 11.1576 and 4.4435 Å, with angles of 90.00, 90.00 and 90.00 degrees. Symmetry generates all atoms from Ca at (0.0000, 0.2890, 0.0000), Sb at (0.0000, 0.0000, 0.0000) and Sb at (0.1824, 0.1824, 0.5000).

=====

(8)
Ca2Sb: optimized geometry, PBE-GGA.

The final energy is -41.422 eV per cell. The value obtained for the density of states at the Fermi level is 0.250 states/eV/atom. The uncorrected formation energy is -0.7433 eV per atom. For the size of the total moment, the calculation gives 0.0 μB/f.u.

The space group is Immm (No. 71) and the conventional cell measures 4.4440, 6.8019 and 13.5090 Å, with angles of 90.00, 90.00 and 90.00 degrees. Symmetry generates all atoms from Ca at (0.0000, 0.0000, 0.1990), Ca at (0.0000, 0.2291, 0.5000) and Sb at (0.0000, 0.5000, 0.1422).